No. 1
VASP calculation (PBE) on Nd2Co3NiP4 after structural relaxation. Values from VASP.

Structure (Quantum ESPRESSO input):
```
&SYSTEM
  ibrav = 0, nat = 10, ntyp = 4
/
ATOMIC_SPECIES
Nd 144.24 Nd.upf
Co 58.93 Co.upf
Ni 58.69 Ni.upf
P 30.97 P.upf
CELL_PARAMETERS angstrom
4.003 0.000 0.000
0.000 4.003 0.000
0.000 0.000 9.216
ATOMIC_POSITIONS angstrom
Nd 2.001 0.000 2.256
Nd 0.000 2.001 6.960
Co 0.000 0.000 4.608
Co 2.001 0.000 8.200
Co 0.000 2.001 1.016
Ni 2.001 2.001 4.608
P 2.001 2.001 0.000
P 0.000 0.000 0.000
P 2.001 0.000 5.860
P 0.000 2.001 3.355
```

Computed properties:
Crystal system: tetragonal
Magnetization (μB/cell): 1.009
ΔH_f (0 K) (eV per atom): -0.97

No. 2
VASP calculation (PBE) on NaTcIO2 after structural relaxation. Values from VASP.

Structure (Quantum ESPRESSO input):
```
&SYSTEM
  ibrav = 0, nat = 5, ntyp = 4
/
ATOMIC_SPECIES
I 126.90 I.upf
Na 22.99 Na.upf
Tc 98.00 Tc.upf
O 16.00 O.upf
CELL_PARAMETERS angstrom
-2.023 3.184 1.994
1.081 -1.676 3.772
4.842 3.087 -0.016
ATOMIC_POSITIONS angstrom
I 2.421 1.543 -0.008
Na 0.000 0.000 0.000
Tc 1.949 2.298 2.875
O 0.540 -0.838 1.886
O -1.012 1.592 0.997
```

Computed properties:
Crystal system: tetragonal
E_form (uncorrected) (eV per atom): 0.88
Energy above the lowest structure with this stoichiometry (eV/atom): 1.810
Magnetization (μB/cell): 2.382

No. 3
VASP calculation (PBE) on AgTe2Cl2 after structural relaxation. Values from VASP.

Structure (Quantum ESPRESSO input):
```
&SYSTEM
  ibrav = 0, nat = 5, ntyp = 3
/
ATOMIC_SPECIES
Te 127.60 Te.upf
Ag 107.87 Ag.upf
Cl 35.45 Cl.upf
CELL_PARAMETERS angstrom
-2.577 1.563 -3.451
-3.722 -0.267 2.659
-2.115 6.949 1.685
ATOMIC_POSITIONS angstrom
Te -2.940 1.923 0.025
Te -5.474 6.322 0.868
Ag 0.000 0.000 0.000
Cl -3.921 4.580 -1.081
Cl -4.493 3.665 1.974
```

Computed properties:
Crystal system: tetragonal
E_form (uncorrected) (eV per atom): 0.22
Energy above the lowest structure with this stoichiometry (eV/atom): 0.385
Magnetization (μB/cell): 0.000

No. 4
VASP calculation (PBE) on TaCrGaRe after structural relaxation. Values from VASP.

Structure (Quantum ESPRESSO input):
```
&SYSTEM
  ibrav = 0, nat = 4, ntyp = 4
/
ATOMIC_SPECIES
Re 186.21 Re.upf
Cr 52.00 Cr.upf
Ga 69.72 Ga.upf
Ta 180.95 Ta.upf
CELL_PARAMETERS angstrom
4.421 0.000 0.000
2.210 3.828 0.000
2.210 1.276 3.609
ATOMIC_POSITIONS angstrom
Re 4.421 2.552 1.805
Cr 0.000 0.000 0.000
Ga 2.210 1.276 0.902
Ta 6.631 3.828 2.707
```

Computed properties:
Crystal system: cubic
Magnetization (μB/cell): 2.925
ΔH_f (0 K) (eV per atom): -0.08

No. 5
VASP calculation (PBE) on Th3Te2P after structural relaxation. Values from VASP.

Structure (Quantum ESPRESSO input):
```
&SYSTEM
  ibrav = 0, nat = 12, ntyp = 3
/
ATOMIC_SPECIES
Th 232.04 Th.upf
Te 127.60 Te.upf
P 30.97 P.upf
CELL_PARAMETERS angstrom
-4.095 5.564 -2.922
-4.933 2.517 5.318
2.348 7.087 0.578
ATOMIC_POSITIONS angstrom
Th -2.556 6.250 -0.273
Th -6.801 5.931 2.136
Th -4.123 8.918 3.247
Th -3.308 4.929 4.136
Th -3.371 10.239 -1.163
Th -2.227 2.150 0.260
Te 0.000 0.000 0.000
Te -4.514 4.040 1.198
Te -5.211 8.145 0.363
Te -1.468 7.023 2.611
P -0.556 4.243 -0.769
P -1.191 8.408 -1.575
```

Computed properties:
Crystal system: monoclinic
E_form (uncorrected) (eV per atom): -1.24
Energy above the lowest structure with this stoichiometry (eV/atom): 0.000
Magnetization (μB/cell): 0.000

No. 6
VASP calculation (PBE) on Y2PuP after structural relaxation. Values from VASP.

Structure (Quantum ESPRESSO input):
```
&SYSTEM
  ibrav = 0, nat = 4, ntyp = 3
/
ATOMIC_SPECIES
Y 88.91 Y.upf
P 30.97 P.upf
Pu 244.00 Pu.upf
CELL_PARAMETERS angstrom
3.717 0.000 0.000
1.858 3.219 0.000
1.858 1.073 10.109
ATOMIC_POSITIONS angstrom
Y 1.858 1.073 6.704
Y 5.575 3.219 3.405
P 3.717 2.146 5.055
Pu 0.000 0.000 0.000
```

Computed properties:
Crystal system: trigonal
Magnetization (μB/cell): 6.351
ΔH_f (0 K) (eV per atom): -0.41

No. 7
VASP calculation (PBE) on CeNdHf after structural relaxation. Values from VASP.

Structure (Quantum ESPRESSO input):
```
&SYSTEM
  ibrav = 0, nat = 3, ntyp = 3
/
ATOMIC_SPECIES
Nd 144.24 Nd.upf
Hf 178.49 Hf.upf
Ce 140.12 Ce.upf
CELL_PARAMETERS angstrom
3.376 0.000 0.000
-1.688 2.923 0.000
0.000 0.000 8.377
ATOMIC_POSITIONS angstrom
Nd 0.000 0.000 0.060
Hf 1.688 0.974 2.860
Ce 0.000 1.949 5.458
```

Computed properties:
Crystal system: trigonal
Energy above the lowest structure with this stoichiometry (eV/atom): 0.006
Magnetization (μB/cell): 0.001
ΔH_f (0 K) (eV per atom): 0.18

No. 8
VASP calculation (PBE) on H7Pd12Pt after structural relaxation. Values from VASP.

Structure (Quantum ESPRESSO input):
```
&SYSTEM
  ibrav = 0, nat = 20, ntyp = 3
/
ATOMIC_SPECIES
H 1.01 H.upf
Pd 106.42 Pd.upf
Pt 195.08 Pt.upf
CELL_PARAMETERS angstrom
-1.275 6.168 1.237
-5.553 -3.206 0.288
3.727 -2.181 4.749
ATOMIC_POSITIONS angstrom
H -1.411 1.906 5.432
H -1.009 1.774 0.818
H 0.889 -0.192 2.001
H -1.551 0.391 3.137
H -3.991 0.973 4.273
H -2.093 -0.993 5.456
H -1.690 -1.125 0.842
Pd -0.035 3.024 4.888
Pd -1.874 3.348 1.279
Pd 0.009 1.514 2.458
Pd -2.474 2.091 3.779
Pd 1.854 -0.327 3.580
Pd -0.611 0.202 4.936
Pd -2.491 0.579 1.338
Pd -4.955 1.108 2.694
Pd -0.627 -1.309 2.495
Pd -3.110 -0.733 3.816
Pd -1.227 -2.567 4.994
Pd -3.067 -2.243 1.386
Pt 0.000 0.000 0.000
```

Computed properties:
E (eV per atom): -4.63
Crystal system: trigonal
Magnetization (μB/cell): 0.000

No. 9
VASP calculation (PBE) on Pa2InGa2Ru5 after structural relaxation. Values from VASP.

Structure (Quantum ESPRESSO input):
```
&SYSTEM
  ibrav = 0, nat = 20, ntyp = 4
/
ATOMIC_SPECIES
Pa 231.04 Pa.upf
In 114.82 In.upf
Ga 69.72 Ga.upf
Ru 101.07 Ru.upf
CELL_PARAMETERS angstrom
-0.092 -3.582 0.355
8.862 -0.649 -4.248
4.290 0.766 8.832
ATOMIC_POSITIONS angstrom
Pa 6.752 -0.304 -1.315
Pa 6.400 0.421 5.899
Pa 2.952 0.133 2.108
Pa 10.200 -0.016 2.476
In 0.000 0.000 0.000
In 6.576 0.059 2.292
Ga 3.751 0.397 4.976
Ga 9.401 -0.280 -0.392
Ga 9.279 0.269 5.111
Ga 3.873 -0.152 -0.527
Ru 2.134 -1.855 0.098
Ru 10.926 -1.610 4.841
Ru 4.159 -1.238 6.840
Ru 7.949 -1.932 0.824
Ru 8.901 -2.227 -1.901
Ru 5.111 -1.533 4.115
Ru 8.187 -1.634 3.886
Ru 4.873 -1.830 1.053
Ru 4.385 -2.115 -1.946
Ru 2.099 -1.408 4.594
```

Computed properties:
Crystal system: tetragonal
Magnetization (μB/cell): 0.000
ΔH_f (0 K) (eV per atom): -0.37

No. 10
VASP calculation (PBE) on Dy3Cu3Ni2 after structural relaxation. Values from VASP.

Structure (Quantum ESPRESSO input):
```
&SYSTEM
  ibrav = 0, nat = 32, ntyp = 3
/
ATOMIC_SPECIES
Dy 162.50 Dy.upf
Cu 63.55 Cu.upf
Ni 58.69 Ni.upf
CELL_PARAMETERS angstrom
5.247 0.000 0.000
0.000 7.192 0.000
0.000 0.000 15.434
ATOMIC_POSITIONS angstrom
Dy 0.645 3.348 6.094
Dy 3.269 0.248 9.340
Dy 4.602 3.844 13.811
Dy 1.978 6.944 1.623
Dy 4.602 3.844 9.340
Dy 1.978 6.944 6.094
Dy 0.645 3.348 1.623
Dy 3.269 0.248 13.811
Dy 3.324 2.371 3.858
Dy 0.700 1.225 11.575
Dy 1.923 4.821 11.575
Dy 4.547 5.967 3.858
Cu 0.669 1.290 3.858
Cu 3.293 2.306 11.575
Cu 4.578 5.902 11.575
Cu 1.955 4.886 3.858
Cu 3.130 2.340 7.240
Cu 0.506 1.256 8.194
Cu 2.117 4.852 14.957
Cu 4.741 5.936 0.477
Cu 2.117 4.852 8.194
Cu 4.741 5.936 7.240
Cu 3.130 2.340 0.477
Cu 0.506 1.256 14.957
Ni 4.583 0.847 5.965
Ni 1.959 2.749 9.469
Ni 0.665 6.345 13.682
Ni 3.288 4.443 1.752
Ni 0.665 6.345 9.469
Ni 3.288 4.443 5.965
Ni 4.583 0.847 1.752
Ni 1.959 2.749 13.682
```

Computed properties:
Crystal system: orthorhombic
Energy above the lowest structure with this stoichiometry (eV/atom): 0.000
Magnetization (μB/cell): 0.000
ΔH_f (0 K) (eV per atom): -0.33

No. 11
VASP calculation (PBE) on KBe2Zn after structural relaxation. Values from VASP.

Structure (Quantum ESPRESSO input):
```
&SYSTEM
  ibrav = 0, nat = 4, ntyp = 3
/
ATOMIC_SPECIES
Be 9.01 Be.upf
Zn 65.41 Zn.upf
K 39.10 K.upf
CELL_PARAMETERS angstrom
-5.215 2.576 -7.262
-7.135 0.832 -5.913
-6.881 3.630 -5.102
ATOMIC_POSITIONS angstrom
Be -0.376 0.138 -0.358
Be -9.239 3.382 -8.781
Zn -14.424 5.279 -13.708
K -4.808 1.760 -4.569
```

Computed properties:
Crystal system: trigonal
Magnetization (μB/cell): 0.000
ΔH_f (0 K) (eV per atom): 0.90

No. 12
VASP calculation (PBE) on BaSb3 after structural relaxation. Values from VASP.

Structure (Quantum ESPRESSO input):
```
&SYSTEM
  ibrav = 0, nat = 4, ntyp = 2
/
ATOMIC_SPECIES
Ba 137.33 Ba.upf
Sb 121.76 Sb.upf
CELL_PARAMETERS angstrom
4.282 0.000 0.000
-2.141 3.709 0.000
0.000 0.000 9.038
ATOMIC_POSITIONS angstrom
Ba 0.000 0.000 0.000
Sb 0.000 0.000 4.519
Sb 2.141 1.236 2.559
Sb 2.141 1.236 6.479
```

Computed properties:
Crystal system: hexagonal
E_form (uncorrected) (eV per atom): -0.19
Magnetization (μB/cell): 0.000